1.
The following is a DFT calculation (SCAN) of LiGeSb3 at its PBEsol-relaxed geometry.

Lattice parameters (Å, degrees): 5.3384 5.3384 5.3384 90.00 90.00 90.00
Element x y z (fractional)
1 Sb 0.5000 0.0000 0.0000
2 Li 0.5000 0.5000 0.5000
3 Sb 0.0000 0.0000 0.5000
4 Ge 0.0000 0.0000 0.0000
5 Sb 0.0000 0.5000 0.0000

The magnetic moment is 0.00 μB per cell. The value obtained for the formation energy from raw total energies is 0.504 eV/atom.

2.
The following is a DFT calculation (SCAN) of Li2ScGe2 at its PBEsol-relaxed geometry.

Lattice parameters (Å, degrees): 3.7983 3.7983 6.3477 107.41 107.41 90.00
Element x y z (fractional)
1 Ge 0.6035 0.6035 0.2070
2 Li 0.7500 0.2500 0.5000
3 Ge 0.3965 0.3965 0.7930
4 Li 0.2500 0.7500 0.5000
5 Sc 0.0000 0.0000 0.0000

The magnetic moment is 0.00 μB per cell. The calculated total energy is -11.97 eV/atom.

3.
The following is a DFT calculation (SCAN) of LiScTl2Ge at its PBEsol-relaxed geometry.

Lattice parameters (Å, degrees): 5.0755 5.3583 5.3583 90.00 90.00 90.00
Element x y z (fractional)
1 Tl 0.0000 0.0000 0.5000
2 Li 0.5000 0.5000 0.5000
3 Tl 0.0000 0.5000 0.0000
4 Sc 0.5000 0.0000 0.0000
5 Ge 0.0000 0.0000 0.0000

The magnetic moment is 0.00 μB per cell. The calculated total energy is -35.87 eV/atom.

4.
The following is a DFT calculation (SCAN) of Li2ScZnGe at its PBEsol-relaxed geometry.

Lattice parameters (Å, degrees): 4.8930 5.0411 5.0411 90.00 90.00 90.00
Each line ends with the local moment (μB).
Element x y z (fractional)
1 Ge 0.5000 0.5000 0.5000  0.04
2 Li 0.0000 0.5000 0.0000  -0.02
3 Zn 0.5000 0.0000 0.0000  -0.05
4 Li 0.0000 0.0000 0.5000  -0.02
5 Sc 0.0000 0.0000 0.0000  -0.57

The magnetic moment is 0.81 μB per cell. The calculated total energy is -9.25 eV/atom.

5.
The following is a DFT calculation (SCAN) of LiTl2SiGe at its PBEsol-relaxed geometry.

Lattice parameters (Å, degrees): 4.8657 5.4724 5.4724 90.00 90.00 90.00
Element x y z (fractional)
1 Si 0.5000 0.0000 0.0000
2 Tl 0.0000 0.0000 0.5000
3 Ge 0.0000 0.0000 0.0000
4 Li 0.5000 0.5000 0.5000
5 Tl 0.0000 0.5000 0.0000

The magnetic moment is 0.00 μB per cell. The value obtained for the formation energy from raw total energies is 0.527 eV/atom.

6.
The following is a DFT calculation (SCAN) of LiSmGe2 at its PBEsol-relaxed geometry.

Lattice parameters (Å, degrees): 3.8879 7.6789 10.4363 90.00 90.00 90.00
Element x y z (fractional)
1 Sm 0.2500 0.1396 0.3643
2 Li 0.2500 0.4867 0.6074
3 Li 0.2500 0.9867 0.8926
4 Ge 0.7500 0.8474 0.3139
5 Ge 0.7500 0.2719 0.5642
6 Ge 0.7500 0.7719 0.9358
7 Sm 0.7500 0.8604 0.6357
8 Li 0.7500 0.0133 0.1074
9 Ge 0.2500 0.2281 0.0642
10 Ge 0.7500 0.3474 0.1861
11 Ge 0.2500 0.1526 0.6861
12 Sm 0.7500 0.3604 0.8643
13 Ge 0.2500 0.7281 0.4358
14 Ge 0.2500 0.6526 0.8139
15 Li 0.7500 0.5133 0.3926
16 Sm 0.2500 0.6396 0.1357

The magnetic moment is 0.00 μB per cell. The calculated total energy is -21.97 eV/atom.

7.
The following is a DFT calculation (SCAN) of Li3SnGe at its PBEsol-relaxed geometry.

Lattice parameters (Å, degrees): 4.7049 4.7049 4.7049 90.00 90.00 90.00
Element x y z (fractional)
1 Sn 0.5000 0.5000 0.5000
2 Li 0.5000 0.0000 0.0000
3 Ge 0.0000 0.0000 0.0000
4 Li 0.0000 0.0000 0.5000
5 Li 0.0000 0.5000 0.0000

The magnetic moment is 0.00 μB per cell. Its relative energy among the computed polymorphs is 0.000 eV per formula unit.

8.
The following is a DFT calculation (SCAN) of Li3SnGe at its PBEsol-relaxed geometry.

Lattice parameters (Å, degrees): 4.9349 4.9349 4.9349 90.00 90.00 90.00
Element x y z (fractional)
1 Ge 0.5000 0.5000 0.5000
2 Sn 0.0000 0.0000 0.0000
3 Li 0.0000 0.0000 0.5000
4 Li 0.0000 0.5000 0.0000
5 Li 0.5000 0.0000 0.0000

The magnetic moment is 0.00 μB per cell. Its relative energy among the computed polymorphs is 1.485 eV per formula unit.